Record 1
A relaxed structure of InSbO2, computed with GGA-PBE.

Summary:
Raw formation energy, meV/atom: -1181
Symmetry: R-3m

Unit cell a=7.036 b=7.036 c=7.036 alpha=27.26 beta=27.26 gamma=27.26
Atoms (fractional coordinates):
In 0.000 0.000 0.000
Sb 0.500 0.500 0.500
O 0.388 0.388 0.388
O 0.612 0.612 0.612



Record 2
A relaxed structure of Sn3BiAu4, computed with GGA-PBE.

Summary:
Energy, eV per cell: -29.87
Symmetry: C2/m

Unit cell a=7.098 b=7.098 c=4.100 alpha=90.10 beta=90.10 gamma=70.83
Atoms (fractional coordinates):
Sn 0.000 0.000 0.000
Sn 0.000 0.500 0.500
Sn 0.500 0.000 0.500
Bi 0.500 0.500 0.000
Au 0.239 0.761 0.500
Au 0.244 0.244 0.000
Au 0.756 0.756 0.000
Au 0.761 0.239 0.500



Record 3
A relaxed structure of YHoTcAu, computed with GGA-PBE.

Summary:
Energy, eV per cell: -26.12
Symmetry: F-43m

Unit cell a=4.949 b=4.949 c=4.949 alpha=60.00 beta=60.00 gamma=60.00
Atoms (fractional coordinates):
Y 0.000 0.000 0.000
Ho 0.500 0.500 0.500
Tc 0.750 0.750 0.750
Au 0.250 0.250 0.250



Record 4
A relaxed structure of YMoSe, computed with GGA-PBE.

Summary:
Raw formation energy, meV/atom: -301
Symmetry: I4mm

Unit cell a=5.890 b=5.890 c=5.890 alpha=146.84 beta=146.84 gamma=47.60
Atoms (fractional coordinates):
Y 0.000 0.000 0.000
Mo 0.691 0.691 0.000
Se 0.294 0.294 0.000



Record 5
A relaxed structure of KBaTeI, computed with GGA-PBE.

Summary:
Raw formation energy, meV/atom: -1469
Symmetry: F-43m

Unit cell a=6.037 b=6.037 c=6.037 alpha=60.00 beta=60.00 gamma=60.00
Atoms (fractional coordinates):
K 0.000 0.000 0.000
Ba 0.500 0.500 0.500
Te 0.750 0.750 0.750
I 0.250 0.250 0.250



Record 6
A relaxed structure of Cs2BeZn, computed with GGA-PBE.

Summary:
Energy, eV per cell: -3.72
Symmetry: Fm-3m

Unit cell a=6.275 b=6.275 c=6.275 alpha=60.00 beta=60.00 gamma=60.00
Atoms (fractional coordinates):
Cs 0.250 0.250 0.250
Cs 0.750 0.750 0.750
Be 0.000 0.000 0.000
Zn 0.500 0.500 0.500



Record 7
A relaxed structure of YBeOs2, computed with GGA-PBE.

Summary:
Energy, eV per cell: -31.23
Symmetry: P4/mmm

Unit cell a=3.932 b=3.932 c=4.139 alpha=90.00 beta=90.00 gamma=90.00
Atoms (fractional coordinates):
Y 0.000 0.000 0.000
Be 0.500 0.500 0.000
Os 0.000 0.500 0.500
Os 0.500 0.000 0.500



Record 8
A relaxed structure of Ag2PtPb, computed with GGA-PBE.

Summary:
Energy, eV per cell: -15.32
Symmetry: P4mm

Unit cell a=3.490 b=3.490 c=6.542 alpha=90.00 beta=90.00 gamma=90.00
Atoms (fractional coordinates):
Ag 0.000 0.000 0.000
Ag 0.500 0.500 0.218
Pt 0.500 0.500 0.767
Pb 0.000 0.000 0.526



Record 9
A relaxed structure of Mn2CoP, computed with GGA-PBE.

Summary:
Energy, eV per cell: -31.28
Symmetry: P2/m

Unit cell a=2.567 b=3.630 c=4.749 alpha=90.00 beta=99.81 gamma=90.00
Atoms (fractional coordinates):
Mn 0.108 0.000 0.256
Mn 0.892 0.000 0.744
Co 0.500 0.500 0.000
P 0.500 0.500 0.500



Record 10
A relaxed structure of BaBe2I, computed with GGA-PBE.

Summary:
Raw formation energy, meV/atom: 631
Symmetry: I-42d

Unit cell a=6.798 b=6.798 c=6.798 alpha=103.89 beta=103.89 gamma=121.32
Atoms (fractional coordinates):
Ba 0.000 0.000 0.000
Ba 0.750 0.250 0.500
Be 0.164 0.625 0.039
Be 0.375 0.414 0.539
Be 0.586 0.125 0.961
Be 0.875 0.836 0.461
I 0.250 0.750 0.500
I 0.500 0.500 0.000



Record 11
A relaxed structure of Zn2PRh, computed with GGA-PBE.

Summary:
Energy, eV per cell: -15.20
Symmetry: R-3m

Unit cell a=8.358 b=8.358 c=8.358 alpha=19.94 beta=19.94 gamma=19.94
Atoms (fractional coordinates):
Zn 0.247 0.247 0.247
Zn 0.753 0.753 0.753
P 0.000 0.000 0.000
Rh 0.500 0.500 0.500



Record 12
A relaxed structure of YAgMo2, computed with GGA-PBE.

Summary:
Energy, eV per cell: -28.52
Symmetry: P4/mmm

Unit cell a=3.602 b=3.602 c=6.365 alpha=90.00 beta=90.00 gamma=90.00
Atoms (fractional coordinates):
Y 0.000 0.000 0.000
Ag 0.000 0.000 0.500
Mo 0.500 0.500 0.321
Mo 0.500 0.500 0.679